Crystalline TlInPd6 at its relaxed geometry, computed with PBE-GGA.

The structure in POSCAR format:
```
TlInPd6
1.0
6.300 -1.081 5.260
1.254 -0.593 8.161
-4.145 -2.056 -6.864
Pd In Tl
6 1 1
Direct
0.748 0.248 0.500 Pd
0.248 0.748 0.500 Pd
0.626 0.626 0.000 Pd
0.003 0.503 0.500 Pd
0.503 0.003 0.500 Pd
0.374 0.374 0.000 Pd
0.125 0.125 0.000 In
0.875 0.875 0.000 Tl
```

Computed properties:
space group: I4mm (107)
V: 132.1 Å³/cell
uncorrected energy: -0.1787 hartree per atom